(1)
Entry from Alexandria via LeMat-Bulk: CaHgPt2 after structural relaxation (GGA-PBE).

Unit cell a=5.364 b=5.364 c=5.364 alpha=135.03 beta=134.91 gamma=65.58
Element x y z (fractional)
Ca 0.000 0.000 0.000
Hg 0.250 0.750 0.500
Pt 0.500 0.500 0.000
Pt 0.750 0.250 0.500

Formation energy ... -482.5 meV/atom

***

(2)
Entry from Alexandria via LeMat-Bulk: UNF after structural relaxation (GGA-PBE).

Unit cell a=3.598 b=3.598 c=5.074 alpha=90.00 beta=90.00 gamma=120.00
Element x y z (fractional)
U 0.000 0.000 0.000
N 0.667 0.333 0.857
F 0.333 0.667 0.263

Formation energy without anion corrections ... -558 kJ/mol of formula units